[1]
VASP calculation (PBE) on a geometry-optimized ErHfHgPd structure.

Output
E_form, eV/atom: -0.394
Symmetry: F-43m (216)

abc: 4.9431 4.9431 4.9431
angles: 60.00 60.00 60.00
Atoms (fractional coordinates):
Er (0.0000, 0.0000, 0.0000)
Hf (0.5000, 0.5000, 0.5000)
Hg (0.2500, 0.2500, 0.2500)
Pd (0.7500, 0.7500, 0.7500)

[2]
VASP calculation (PBE) on a geometry-optimized AgHg2SbTe4 structure.

Output
ΔE_f (raw), meV per atom: -59
Symmetry: Fmm2 (42)

abc: 8.2055 8.2055 6.6941
angles: 65.93 65.93 48.15
Atoms (fractional coordinates):
Ag (0.0000, 0.0000, 0.0000)
Hg (0.2502, 0.2502, 0.2498)
Hg (0.7502, 0.7502, 0.7498)
Sb (0.5004, 0.5004, 0.4996)
Te (0.1115, 0.6368, 0.8885)
Te (0.3634, 0.8894, 0.1106)
Te (0.6368, 0.1115, 0.3632)
Te (0.8894, 0.3634, 0.6366)